Record 1
This record from Alexandria describes a relaxed structure of La2CoB. The functional is GGA-PBE.

Lattice parameters (Å, degrees): 6.192 6.192 6.192 109.46 109.46 109.49
Sites, in units of the cell vectors:
La1 0.120 0.625 0.995
La2 0.375 0.370 0.495
La3 0.630 0.125 0.005
La4 0.875 0.880 0.505
Co1 0.000 0.000 0.000
Co2 0.750 0.250 0.500
B1 0.250 0.750 0.500
B2 0.500 0.500 0.000

Calculated values
Calculated formation energy, eV per atom: 0.495

Record 2
This record from Alexandria describes a relaxed structure of LaCo2B. The functional is GGA-PBE.

Lattice parameters (Å, degrees): 7.453 7.453 7.453 145.26 145.26 49.95
Sites, in units of the cell vectors:
La1 0.375 0.625 0.750
La2 0.625 0.375 0.250
Co1 0.000 0.000 0.000
Co2 0.000 0.000 0.500
Co3 0.000 0.500 0.000
Co4 0.500 0.000 0.500
B1 0.125 0.875 0.250
B2 0.875 0.125 0.750

Calculated values
Calculated formation energy, eV per atom: -0.067

Number 1: calculated volume 22.8 A^3/atom, N(E_F) 0.94 states/eV/atom, total DFT energy (no corrections) -5.41 eV per atom. Number 2: calculated volume 16.7 A^3/atom, N(E_F) 0.47 states/eV/atom, total DFT energy (no corrections) -6.52 eV per atom.